5
Lattice="-3.3765 -5.0859 -0.1967 2.9417 -2.0176 1.6704 -2.2576 1.2851 5.5279" Properties=species:S:1:pos:R:3 comment="Tl2CdHPb, optimized geometry, DFT PBE" vol_a3_per_atom=29.39 relative_energy_ev_per_atom=0.156 m_tot_mub_per_fu=0.00 pbc="T T T"
Pb 0.0000 0.0000 0.0000
H 1.4709 -1.0088 0.8352
Tl -1.1288 0.6425 2.7639
Tl -1.6883 -2.5429 -0.0983
Cd -1.3462 -2.9092 3.5008

5
Lattice="-3.4826 1.9473 -2.5580 -3.1814 -1.5443 3.1557 0.4530 3.9478 2.3886" Properties=species:S:1:pos:R:3 comment="YCd2HPb, optimized geometry, DFT PBE" vol_a3_per_atom=20.83 dft_energy_ev_per_atom=-3.26 m_tot_mub_per_fu=0.00 pbc="T T T"
Pb -3.1055 2.1754 1.4931
Y 0.2265 1.9739 1.1943
H 0.0000 0.0000 0.0000
Cd -1.5907 -0.7721 1.5778
Cd -1.7413 0.9737 -1.2790

5
Lattice="-3.3490 3.3606 1.7881 -1.3454 -3.2728 3.6311 3.1156 1.6833 2.6716" Properties=species:S:1:pos:R:3 comment="YCdHPb2, optimized geometry, DFT PBE" vol_a3_per_atom=22.81 dft_energy_ev_per_atom=-3.76 m_tot_mub_per_fu=0.00 pbc="T T T"
Pb -0.6727 -1.6364 1.8156
Pb -1.6745 1.6803 0.8941
Y 1.5578 0.8416 1.3358
H 0.0000 0.0000 0.0000
Cd -0.7894 0.8855 4.0454